1.
VASP calculation (PBE) on a geometry-optimized LiBe2Cr structure.

a = 4.5442 Å, b = 4.5442 Å, c = 4.3072 Å
α = 74.11°, β = 74.11°, γ = 28.39°
Positions (direct):
Li: 0.2724 0.2724 0.1828
Be: 0.7257 0.7257 0.7000
Be: 0.0274 0.0274 0.0448
Cr: 0.4745 0.4745 0.5725

Results
E above lowest polymorph, meV/atom: 55
Calculated formation energy, eV/atom: 0.174

***

2.
VASP calculation (PBE) on a geometry-optimized Cs2In4Pb5 structure.

a = 7.2941 Å, b = 7.1069 Å, c = 9.9322 Å
α = 79.14°, β = 68.46°, γ = 59.12°
Positions (direct):
In: 0.2217 0.2749 0.2817
In: 0.4966 0.7251 0.2817
In: 0.7783 0.7251 0.7183
In: 0.5034 0.2749 0.7183
Pb: 0.7500 0.5000 0.5000
Pb: 0.0000 0.5000 0.0000
Pb: 0.5000 0.5000 0.0000
Pb: 0.2500 0.5000 0.5000
Pb: 0.5000 0.0000 0.0000
Cs: 0.8666 0.0000 0.2668
Cs: 0.1334 0.0000 0.7332

Results
Calculated formation energy, eV/atom: -0.049

***

3.
VASP calculation (PBE) on a geometry-optimized BaPrH6Pt2 structure.

a = 6.4327 Å, b = 6.4327 Å, c = 7.6470 Å
α = 107.29°, β = 107.29°, γ = 87.99°
Positions (direct):
H: 0.3633 0.6827 0.0512
H: 0.8474 0.6008 0.8637
H: 0.8955 0.2740 0.2291
H: 0.1526 0.3992 0.1363
H: 0.3173 0.6367 0.4488
H: 0.6827 0.3633 0.5512
H: 0.7260 0.1045 0.2709
H: 0.6367 0.3173 0.9488
H: 0.3992 0.1526 0.6363
H: 0.6008 0.8474 0.3637
H: 0.2740 0.8955 0.7291
H: 0.1045 0.7260 0.7709
Pt: 0.0960 0.4564 0.3451
Pt: 0.9040 0.5436 0.6549
Pt: 0.4564 0.0960 0.8451
Pt: 0.5436 0.9040 0.1549
Ba: 0.9047 0.0953 0.7500
Ba: 0.0953 0.9047 0.2500
Pr: 0.5651 0.4349 0.2500
Pr: 0.4349 0.5651 0.7500

Results
Raw total energy, eV/cell: -88.10

***

4.
VASP calculation (PBE) on a geometry-optimized Na2BiSbH structure.

a = 4.7634 Å, b = 5.0072 Å, c = 4.7634 Å
α = 90.00°, β = 90.00°, γ = 90.00°
Positions (direct):
Na: 0.5000 0.0000 0.0000
Na: 0.0000 0.0000 0.5000
H: 0.0000 0.0000 0.0000
Sb: 0.5000 0.5000 0.5000
Bi: 0.0000 0.5000 0.0000

Results
E above lowest polymorph, meV/atom: 0

***

5.
VASP calculation (PBE) on a geometry-optimized TiNi3Se structure.

a = 4.3124 Å, b = 4.3124 Å, c = 4.3124 Å
α = 90.00°, β = 90.00°, γ = 90.00°
Each line ends with the local moment (μB).
Positions (direct):
Ti: 0.5000 0.5000 0.5000  1.29
Ni: 0.5000 0.0000 0.0000  -0.07
Ni: 0.0000 0.0000 0.5000  0.03
Ni: 0.0000 0.5000 0.0000  -0.02
Se: 0.0000 0.0000 0.0000  0.00

Results
Formation energy from raw total energies, eV/atom: 0.351
E above lowest polymorph, meV/atom: 0

***

6.
VASP calculation (PBE) on a geometry-optimized Pm6C3Se2Br structure.

a = 3.8713 Å, b = 8.2471 Å, c = 9.1058 Å
α = 107.93°, β = 102.27°, γ = 90.00°
Positions (direct):
Pm: 0.0125 0.7149 0.0249
Pm: 0.6799 0.0577 0.3599
Pm: 0.3413 0.3942 0.6825
Pm: 0.9875 0.2851 0.9751
Pm: 0.6587 0.6058 0.3175
Pm: 0.3201 0.9423 0.6401
C: 0.5000 0.5000 0.0000
C: 0.1673 0.8325 0.3346
C: 0.8327 0.1675 0.6654
Se: 0.8365 0.6731 0.6730
Se: 0.1635 0.3269 0.3270
Br: 0.5000 0.0000 0.0000

Results
Formation energy from raw total energies, eV/atom: -1.011